Below is a relaxed Zn5PdPt2Au2 crystal, with properties calculated at the PBE-GGA level.

Structure (POSCAR):
```
Zn5PdPt2Au2
1.0
9.969 0.000 0.000
0.000 9.969 0.000
0.000 0.000 3.304
Zn Pd Pt Au
10 2 4 4
Direct
0.000 0.500 0.000
0.118 0.164 0.000
0.164 0.882 0.000
0.336 0.382 0.000
0.382 0.664 0.000
0.500 0.000 0.000
0.618 0.336 0.000
0.664 0.618 0.000
0.836 0.118 0.000
0.882 0.836 0.000
0.000 0.000 0.500
0.500 0.500 0.500
0.140 0.360 0.500
0.360 0.860 0.500
0.640 0.140 0.500
0.860 0.640 0.500
0.155 0.655 0.500
0.345 0.155 0.500
0.655 0.845 0.500
0.845 0.345 0.500
```

Computed properties:
**Calculated total energy**: -0.1224 hartree per atom
**Mass density**: 12.32 g/cm³